VASP calculation (GGA-PBE) on a relaxed HfVTeIr2 crystal.

```
data_HfVTeIr2
_chemical_formula_sum 'Hf1 V1 Te1 Ir2'
_cell_length_a 4.820
_cell_length_b 4.820
_cell_length_c 4.662
_cell_angle_alpha 90.00
_cell_angle_beta 90.00
_cell_angle_gamma 90.00
_space_group_name_H-M_alt 'P 1'
_space_group_IT_number 1
loop_
_space_group_symop_operation_xyz
'x,y,z'
loop_
_atom_site_label
_atom_site_type_symbol
_atom_site_fract_x
_atom_site_fract_y
_atom_site_fract_z
Hf1 Hf 0.000 0.000 0.000
V1 V 0.500 0.500 0.000
Te1 Te 0.500 0.500 0.500
Ir1 Ir 0.000 0.500 0.500
Ir2 Ir 0.500 0.000 0.500
```

Summary:
- symmetry = P4/mmm
- M_tot (μB/f.u.) = 0.924
- DFT total energy (eV/atom) = -6.878
- raw formation energy (kcal/mol of atoms) = 25.575